No. 1
Sc5Co2Ir | PBE-GGA | relaxed

Unit cell a=8.155 b=8.155 c=8.155 alpha=131.84 beta=131.84 gamma=70.48
Element x y z (fractional)
Sc 0.000 0.000 0.000
Sc 0.036 0.536 0.856
Sc 0.179 0.036 0.500
Sc 0.321 0.821 0.856
Sc 0.464 0.321 0.500
Sc 0.500 0.500 0.000
Sc 0.536 0.679 0.500
Sc 0.679 0.179 0.144
Sc 0.821 0.964 0.500
Sc 0.964 0.464 0.144
Co 0.119 0.381 0.500
Co 0.381 0.881 0.263
Co 0.619 0.119 0.737
Co 0.881 0.619 0.500
Ir 0.250 0.250 0.000
Ir 0.750 0.750 0.000

**Magnetic moment**: 0.0 μB per cell
**Energy of formation**: -504.2 meV per atom

***

No. 2
Sc3CoIr2 | PBE-GGA | relaxed

Unit cell a=7.156 b=7.156 c=6.395 alpha=90.00 beta=90.00 gamma=143.11
Element x y z (fractional)
Sc 0.000 0.000 0.247
Sc 0.000 0.000 0.753
Sc 0.331 0.669 0.245
Sc 0.331 0.669 0.755
Sc 0.669 0.331 0.245
Sc 0.669 0.331 0.755
Co 0.167 0.833 0.000
Co 0.833 0.167 0.000
Ir 0.166 0.834 0.500
Ir 0.500 0.500 0.000
Ir 0.500 0.500 0.500
Ir 0.834 0.166 0.500

**Magnetic moment**: 0.7 μB per cell
**Energy of formation**: -812.8 meV per atom

***

No. 3
ScCoIr2 | PBE-GGA | relaxed

Unit cell a=2.809 b=2.809 c=7.506 alpha=90.00 beta=90.00 gamma=90.00
Element x y z (fractional)
Sc 0.000 0.000 0.000
Co 0.500 0.500 0.260
Ir 0.000 0.000 0.474
Ir 0.500 0.500 0.727

**Magnetic moment**: 0.8 μB per cell
**Energy of formation**: -168.9 meV per atom

***

In eV/atom, the electronic total energy values for the records above are, in order, -7.3455 -8.1166 -7.9587.